Record 1
Sr2MnAu: relaxed, PBE.

The structure in CIF format:
```
data_Sr2MnAu
_cell_length_a 8.607
_cell_length_b 8.607
_cell_length_c 7.167
_cell_angle_alpha 90.00
_cell_angle_beta 90.00
_cell_angle_gamma 90.00
_space_group_name_H-M_alt 'I -4 2 d'
_space_group_IT_number 122
_space_group_name_Hall 'I -4 2bw'
loop_
_atom_site_label
_atom_site_fract_x
_atom_site_fract_y
_atom_site_fract_z
_atom_site_occupancy
Sr1 0.225 0.250 0.125 1
Mn1 0.000 0.000 0.500 1
Au1 0.000 0.000 0.000 1
```

Formation energy from the elements: 0.99 eV per formula unit
Crystal system: tetragonal

Record 2
Sr2MnAu: relaxed, PBE.

The structure in CIF format:
```
data_Sr2MnAu
_cell_length_a 4.3131
_cell_length_b 4.3131
_cell_length_c 25.6252
_cell_angle_alpha 90.00
_cell_angle_beta 90.00
_cell_angle_gamma 120.00
_space_group_name_H-M_alt 'R -3 m'
_space_group_IT_number 166
_space_group_name_Hall '-R 3 2"'
loop_
_atom_site_label
_atom_site_fract_x
_atom_site_fract_y
_atom_site_fract_z
_atom_site_occupancy
Sr1 0.0000 0.0000 0.2419 1
Mn1 0.0000 0.0000 0.0000 1
Au1 0.0000 0.0000 0.5000 1
```

Formation energy from the elements: 0.53 eV per formula unit
Crystal system: trigonal

Record 3
SrMnAu: relaxed, PBE.

The structure in CIF format:
```
data_SrMnAu
_cell_length_a 3.635
_cell_length_b 3.635
_cell_length_c 11.258
_cell_angle_alpha 90.00
_cell_angle_beta 90.00
_cell_angle_gamma 90.00
_space_group_name_H-M_alt 'I 4 m m'
_space_group_IT_number 107
_space_group_name_Hall 'I 4 -2'
loop_
_atom_site_label
_atom_site_fract_x
_atom_site_fract_y
_atom_site_fract_z
_atom_site_occupancy
Sr1 0.000 0.000 0.000 1
Mn1 0.000 0.000 0.285 1
Au1 0.000 0.000 0.700 1
```

Formation energy from the elements: -0.15 eV per formula unit
Crystal system: tetragonal

Record 4
Sr2MnAu: relaxed, PBE.

The structure in CIF format:
```
data_Sr2MnAu
_cell_length_a 4.5354
_cell_length_b 4.5354
_cell_length_c 23.7321
_cell_angle_alpha 90.00
_cell_angle_beta 90.00
_cell_angle_gamma 120.00
_space_group_name_H-M_alt 'R 3 m'
_space_group_IT_number 160
_space_group_name_Hall 'R 3 -2"'
loop_
_atom_site_label
_atom_site_fract_x
_atom_site_fract_y
_atom_site_fract_z
_atom_site_occupancy
Sr1 0.0000 0.0000 0.0000 1
Sr2 0.0000 0.0000 0.1788 1
Mn1 0.0000 0.0000 0.7574 1
Au1 0.0000 0.0000 0.4210 1
```

Formation energy from the elements: -0.54 eV per formula unit
Crystal system: trigonal

Record 5
Sr2MnAu: relaxed, PBE.

The structure in CIF format:
```
data_Sr2MnAu
_cell_length_a 4.534
_cell_length_b 4.655
_cell_length_c 11.913
_cell_angle_alpha 90.00
_cell_angle_beta 90.00
_cell_angle_gamma 90.00
_space_group_name_H-M_alt 'A m m 2'
_space_group_IT_number 38
loop_
_space_group_symop_operation_xyz
'x,y,z'
'-x,-y,z'
'-x,y,z'
'x,-y,z'
'x,y+1/2,z+1/2'
'-x,-y+1/2,z+1/2'
'-x,y+1/2,z+1/2'
'x,-y+1/2,z+1/2'
loop_
_atom_site_label
_atom_site_fract_x
_atom_site_fract_y
_atom_site_fract_z
_atom_site_occupancy
Sr1 0.000 0.000 0.000 1
Sr2 0.500 0.000 0.288 1
Mn1 0.500 0.000 0.590 1
Au1 0.000 0.000 0.710 1
```

Formation energy from the elements: -0.55 eV per formula unit
Crystal system: orthorhombic

Record 6
SrMnAu: relaxed, PBE.

The structure in CIF format:
```
data_SrMnAu
_cell_length_a 4.5807
_cell_length_b 4.5807
_cell_length_c 4.3622
_cell_angle_alpha 90.00
_cell_angle_beta 90.00
_cell_angle_gamma 120.00
_space_group_name_H-M_alt 'P -6 m 2'
_space_group_IT_number 187
_space_group_name_Hall 'P -6 2'
loop_
_atom_site_label
_atom_site_fract_x
_atom_site_fract_y
_atom_site_fract_z
_atom_site_occupancy
Sr1 0.0000 0.0000 0.0000 1
Mn1 0.3333 0.6667 0.5000 1
Au1 0.6667 0.3333 0.5000 1
```

Formation energy from the elements: -0.42 eV per formula unit
Crystal system: hexagonal

Record 7
Sr2MnAu: relaxed, PBE.

The structure in CIF format:
```
data_Sr2MnAu
_cell_length_a 7.517
_cell_length_b 7.517
_cell_length_c 7.517
_cell_angle_alpha 90.00
_cell_angle_beta 90.00
_cell_angle_gamma 90.00
_space_group_name_H-M_alt 'F -4 3 m'
_space_group_IT_number 216
_space_group_name_Hall 'F -4 2 3'
loop_
_atom_site_label
_atom_site_fract_x
_atom_site_fract_y
_atom_site_fract_z
_atom_site_occupancy
Sr1 0.000 0.000 0.000 1
Sr2 0.250 0.250 0.250 1
Mn1 0.000 0.000 0.500 1
Au1 0.250 0.250 0.750 1
```

Formation energy from the elements: 0.72 eV per formula unit
Crystal system: cubic

Record 8
SrYMnAu2: relaxed, PBE.

The structure in CIF format:
```
data_SrYMnAu2
_cell_length_a 5.395
_cell_length_b 5.395
_cell_length_c 6.347
_cell_angle_alpha 90.00
_cell_angle_beta 90.00
_cell_angle_gamma 90.00
_space_group_name_H-M_alt 'P 4/m m m'
_space_group_IT_number 123
_space_group_name_Hall '-P 4 2'
loop_
_atom_site_label
_atom_site_fract_x
_atom_site_fract_y
_atom_site_fract_z
_atom_site_occupancy
Sr1 0.000 0.000 0.000 1
Y1 0.000 0.000 0.500 1
Mn1 0.500 0.500 0.000 1
Au1 0.000 0.500 0.500 1
```

Formation energy from the elements: 4.03 eV per formula unit
Crystal system: tetragonal

Record 9
SrZrMnAu2: relaxed, PBE.

The structure in CIF format:
```
data_SrZrMnAu2
_cell_length_a 5.150
_cell_length_b 5.150
_cell_length_c 4.525
_cell_angle_alpha 90.00
_cell_angle_beta 90.00
_cell_angle_gamma 90.00
_space_group_name_H-M_alt 'P 4/m m m'
_space_group_IT_number 123
_space_group_name_Hall '-P 4 2'
loop_
_atom_site_label
_atom_site_fract_x
_atom_site_fract_y
_atom_site_fract_z
_atom_site_occupancy
Sr1 0.000 0.000 0.000 1
Zr1 0.500 0.500 0.000 1
Mn1 0.500 0.500 0.500 1
Au1 0.000 0.500 0.500 1
```

Formation energy from the elements: 0.02 eV per formula unit
Crystal system: tetragonal

Record 10
SrZr2MnAu: relaxed, PBE.

The structure in CIF format:
```
data_SrZr2MnAu
_cell_length_a 5.273
_cell_length_b 5.273
_cell_length_c 4.938
_cell_angle_alpha 90.00
_cell_angle_beta 90.00
_cell_angle_gamma 90.00
_space_group_name_H-M_alt 'P 4/m m m'
_space_group_IT_number 123
_space_group_name_Hall '-P 4 2'
loop_
_atom_site_label
_atom_site_fract_x
_atom_site_fract_y
_atom_site_fract_z
_atom_site_occupancy
Sr1 0.000 0.000 0.000 1
Zr1 0.000 0.500 0.500 1
Mn1 0.500 0.500 0.000 1
Au1 0.500 0.500 0.500 1
```

Formation energy from the elements: 4.57 eV per formula unit
Crystal system: tetragonal

Record 11
Ta2MnAu: relaxed, PBE.

The structure in CIF format:
```
data_Ta2MnAu
_cell_length_a 3.292
_cell_length_b 3.292
_cell_length_c 6.193
_cell_angle_alpha 90.00
_cell_angle_beta 90.00
_cell_angle_gamma 90.00
_space_group_name_H-M_alt 'P 4 m m'
_space_group_IT_number 99
loop_
_space_group_symop_operation_xyz
'x,y,z'
'-y,x,z'
'-x,-y,z'
'y,-x,z'
'-x,y,z'
'y,x,z'
'x,-y,z'
'-y,-x,z'
loop_
_atom_site_label
_atom_site_fract_x
_atom_site_fract_y
_atom_site_fract_z
_atom_site_occupancy
Ta1 0.000 0.000 0.000 1
Ta2 0.500 0.500 0.268 1
Mn1 0.500 0.500 0.784 1
Au1 0.000 0.000 0.530 1
```

Formation energy from the elements: -0.08 eV per formula unit
Crystal system: tetragonal
Energy above the most stable polymorph in this dataset: 32 meV per atom

Record 12
Ta2MnAu: relaxed, PBE.

The structure in CIF format:
```
data_Ta2MnAu
_cell_length_a 3.668
_cell_length_b 4.250
_cell_length_c 8.422
_cell_angle_alpha 90.00
_cell_angle_beta 90.00
_cell_angle_gamma 90.00
_space_group_name_H-M_alt 'I m m m'
_space_group_IT_number 71
_space_group_name_Hall '-I 2 2'
loop_
_atom_site_label
_atom_site_fract_x
_atom_site_fract_y
_atom_site_fract_z
_atom_site_occupancy
Ta1 0.000 0.000 0.240 1
Mn1 0.000 0.500 0.500 1
Au1 0.000 0.500 0.000 1
```

Formation energy from the elements: 0.11 eV per formula unit
Crystal system: orthorhombic
Energy above the most stable polymorph in this dataset: 79 meV per atom

Number 1: DOS(E_F) 1.1727 states/eV per atom. Number 2: DOS(E_F) 1.3778 states/eV per atom. Number 3: DOS(E_F) 0.7468 states/eV per atom. Number 4: DOS(E_F) 1.1487 states/eV per atom. Number 5: DOS(E_F) 0.9547 states/eV per atom. Number 6: DOS(E_F) 0.8953 states/eV per atom. Number 7: DOS(E_F) 1.1379 states/eV per atom. Number 8: DOS(E_F) 0.7647 states/eV per atom. Number 9: DOS(E_F) 0.8784 states/eV per atom. Number 10: DOS(E_F) 1.5649 states/eV per atom. Number 11: DOS(E_F) 0.7262 states/eV per atom. Number 12: DOS(E_F) 0.8234 states/eV per atom.